# Ce2PmErBi4, optimized geometry, DFT GGA-PBE
data_Ce2PmErBi4
_symmetry_space_group_name_H-M 'P 1'
_symmetry_Int_Tables_number 1
_cell_length_a 7.8905
_cell_length_b 4.5546
_cell_length_c 7.8996
_cell_angle_alpha 90.00
_cell_angle_beta 109.46
_cell_angle_gamma 90.00
loop_
_symmetry_equiv_pos_as_xyz
'x,y,z'
loop_
_atom_site_label
_atom_site_type_symbol
_atom_site_fract_x
_atom_site_fract_y
_atom_site_fract_z
Ce1 Ce 0.0000 0.0000 0.0000
Ce2 Ce 0.5000 0.5000 0.0000
Pm1 Pm 0.0000 0.5000 0.5000
Er1 Er 0.5000 0.0000 0.5000
Bi1 Bi 0.2533 0.0000 0.7472
Bi2 Bi 0.2561 0.5000 0.2559
Bi3 Bi 0.7439 0.5000 0.7441
Bi4 Bi 0.7467 0.0000 0.2528
# - calculated density (g cm⁻³) = 8.9
# - VASP energy (eV per atom) = -5.42
# - N(E_F) (states/eV/cell) = 14.823
# - total magnetic moment (μB/f.u.) = 1.71


# CaSbAsI2, optimized geometry, DFT GGA-PBE
data_CaSbAsI2
_symmetry_space_group_name_H-M 'P 1'
_symmetry_Int_Tables_number 1
_cell_length_a 5.5883
_cell_length_b 5.5883
_cell_length_c 5.6725
_cell_angle_alpha 90.00
_cell_angle_beta 90.00
_cell_angle_gamma 90.00
loop_
_symmetry_equiv_pos_as_xyz
'x,y,z'
loop_
_atom_site_label
_atom_site_type_symbol
_atom_site_fract_x
_atom_site_fract_y
_atom_site_fract_z
Ca1 Ca 0.0000 0.0000 0.0000
Sb1 Sb 0.5000 0.5000 0.0000
As1 As 0.5000 0.5000 0.5000
I1 I 0.0000 0.5000 0.5000
I2 I 0.5000 0.0000 0.5000
# - calculated density (g cm⁻³) = 4.6
# - VASP energy (eV per atom) = -2.89
# - N(E_F) (states/eV/cell) = 3.285
# - uncorrected formation energy (eV/atom) = -0.117
# - excess energy over the best structure of this formula in the dataset (eV per atom) = 0.0000
# - total magnetic moment (μB/f.u.) = 0.00


# NpTl2RuO6, optimized geometry, DFT GGA-PBE
data_NpTl2RuO6
_symmetry_space_group_name_H-M 'P 1'
_symmetry_Int_Tables_number 1
_cell_length_a 6.7702
_cell_length_b 6.7702
_cell_length_c 5.1937
_cell_angle_alpha 105.31
_cell_angle_beta 105.31
_cell_angle_gamma 51.10
loop_
_symmetry_equiv_pos_as_xyz
'x,y,z'
loop_
_atom_site_label
_atom_site_type_symbol
_atom_site_fract_x
_atom_site_fract_y
_atom_site_fract_z
Np1 Np 0.0000 0.0000 0.0000
Tl1 Tl 0.2836 0.2836 0.7879
Tl2 Tl 0.7164 0.7164 0.2121
Ru1 Ru 0.5000 0.5000 0.5000
O1 O 0.1499 0.1499 0.2311
O2 O 0.2184 0.6794 0.2304
O3 O 0.3206 0.7816 0.7696
O4 O 0.6794 0.2184 0.2304
O5 O 0.7816 0.3206 0.7696
O6 O 0.8501 0.8501 0.7689
# - calculated density (g cm⁻³) = 7.9
# - VASP energy (eV per atom) = -7.18
# - N(E_F) (states/eV/cell) = 4.511
# - uncorrected formation energy (eV/atom) = -1.515
# - total magnetic moment (μB/f.u.) = 2.99


# BaCu3Ru, optimized geometry, DFT GGA-PBE
data_BaCu3Ru
_symmetry_space_group_name_H-M 'P 1'
_symmetry_Int_Tables_number 1
_cell_length_a 5.0988
_cell_length_b 5.0988
_cell_length_c 5.0988
_cell_angle_alpha 90.00
_cell_angle_beta 90.00
_cell_angle_gamma 90.00
loop_
_symmetry_equiv_pos_as_xyz
'x,y,z'
loop_
_atom_site_label
_atom_site_type_symbol
_atom_site_fract_x
_atom_site_fract_y
_atom_site_fract_z
Ba1 Ba 0.0000 0.0000 0.0000
Cu1 Cu 0.0000 0.0000 0.5000
Cu2 Cu 0.0000 0.5000 0.0000
Cu3 Cu 0.5000 0.0000 0.0000
Ru1 Ru 0.5000 0.5000 0.5000
# - calculated density (g cm⁻³) = 5.4
# - VASP energy (eV per atom) = -2.42
# - N(E_F) (states/eV/cell) = 15.353
# - excess energy over the best structure of this formula in the dataset (eV per atom) = 1.8153
# - total magnetic moment (μB/f.u.) = 0.00